1 | ## Y2MgBe (PBE)

Data for Y2MgBe after structural relaxation.

a = 4.4200 Å, b = 4.4200 Å, c = 7.4668 Å
α = 100.14°, β = 100.14°, γ = 48.06°
Last column: nearest neighbours and their distance in Å.
Element x y z (fractional)
Y1 0.2358 0.2358 0.1950  3 Be 2.81
Y2 0.7642 0.7642 0.8050  3 Be 2.81
Mg1 0.0000 0.0000 0.5000  6 Y 3.24-3.33, 2 Mg 3.60
Be1 0.5000 0.5000 0.0000  6 Y 2.81

2 | ## Y2MgBe (PBE)

Data for Y2MgBe after structural relaxation.

a = 9.5409 Å, b = 9.5409 Å, c = 9.5409 Å
α = 21.44°, β = 21.44°, γ = 21.44°
Last column: nearest neighbours and their distance in Å.
Element x y z (fractional)
Y1 0.0000 0.0000 0.0000  3 Mg 3.41, 9 Y 3.55-3.62
Y2 0.2266 0.2266 0.2266  3 Be 2.83
Mg1 0.7640 0.7640 0.7640  3 Be 2.63
Be1 0.4899 0.4899 0.4899  3 Mg 2.63, 3 Y 2.83

Stability check: which of them is least stable? 2.

1 | ## Y2MgBe (PBE)

Data for Y2MgBe after structural relaxation.

a = 6.5014 Å, b = 6.5014 Å, c = 6.5014 Å
α = 103.09°, β = 103.09°, γ = 123.16°
Last column: nearest neighbours and their distance in Å.
Element x y z (fractional)
Y1 0.0738 0.6250 0.9488  2 Be 2.70
Y2 0.3750 0.3238 0.4488  2 Be 2.70
Y3 0.6762 0.1250 0.0512  2 Be 2.70
Y4 0.8750 0.9262 0.5512  2 Be 2.70
Mg1 0.2500 0.7500 0.5000  2 Be 3.09, 4 Y 3.26
Mg2 0.5000 0.5000 0.0000  2 Be 3.09, 4 Y 3.26
Be1 0.0000 0.0000 0.0000  4 Y 2.70
Be2 0.7500 0.2500 0.5000  4 Y 2.70

2 | ## Y2MgBe (PBE)

Data for Y2MgBe after structural relaxation.

a = 5.1367 Å, b = 5.1367 Å, c = 5.1367 Å
α = 60.00°, β = 60.00°, γ = 60.00°
Last column: nearest neighbours and their distance in Å.
Element x y z (fractional)
Y1 0.0000 0.0000 0.0000  4 Mg 3.15, 4 Y 3.15
Y2 0.2500 0.2500 0.2500  4 Be 3.15, 4 Y 3.15
Mg1 0.7500 0.7500 0.7500  4 Y 3.15, 4 Be 3.15
Be1 0.5000 0.5000 0.5000  4 Mg 3.15, 4 Y 3.15

Stability check: which of them is least stable? 2.

1 | ## Y2Mg2Be (PBE)

Data for Y2Mg2Be after structural relaxation.

a = 9.4427 Å, b = 9.4427 Å, c = 9.4427 Å
α = 157.19°, β = 157.19°, γ = 32.48°
Last column: nearest neighbours and their distance in Å.
Element x y z (fractional)
Y1 0.0869 0.0869 0.0000  4 Be 3.07, 1 Y 3.15
Y2 0.9131 0.9131 0.0000  4 Be 3.07, 1 Y 3.15
Mg1 0.2500 0.7500 0.5000  4 Mg 2.64
Mg2 0.7500 0.2500 0.5000  4 Mg 2.64
Be1 0.5000 0.5000 0.0000  8 Y 3.07

2 | ## Y2Mg2Be (PBE)

Data for Y2Mg2Be after structural relaxation.

a = 6.8181 Å, b = 6.8181 Å, c = 5.1680 Å
α = 90.00°, β = 90.00°, γ = 90.00°
Last column: nearest neighbours and their distance in Å.
Element x y z (fractional)
Y1 0.1736 0.3264 0.0000  6 Mg 3.11-3.39, 1 Y 3.35
Y2 0.3264 0.8264 0.0000  6 Mg 3.11-3.39, 1 Y 3.35
Y3 0.6736 0.1736 0.0000  6 Mg 3.11-3.39, 1 Y 3.35
Y4 0.8264 0.6736 0.0000  6 Mg 3.11-3.39, 1 Y 3.35
Mg1 0.1471 0.6471 0.5000  2 Be 2.61, 1 Mg 2.84
Mg2 0.3529 0.1471 0.5000  2 Be 2.61, 1 Mg 2.84
Mg3 0.6471 0.8529 0.5000  2 Be 2.61, 1 Mg 2.84
Mg4 0.8529 0.3529 0.5000  2 Be 2.61, 1 Mg 2.84
Be1 0.0000 0.0000 0.5000  4 Mg 2.61
Be2 0.5000 0.5000 0.5000  4 Mg 2.61

3 | ## Y2Mg2Be (PBE)

Data for Y2Mg2Be after structural relaxation.

a = 7.3009 Å, b = 7.3009 Å, c = 5.1684 Å
α = 90.00°, β = 90.00°, γ = 90.00°
Last column: nearest neighbours and their distance in Å.
Element x y z (fractional)
Y1 0.1550 0.3450 0.0000  2 Be 2.76
Y2 0.3450 0.8450 0.0000  2 Be 2.76
Y3 0.6550 0.1550 0.0000  2 Be 2.76
Y4 0.8450 0.6550 0.0000  2 Be 2.76
Mg1 0.1516 0.6516 0.5000  1 Mg 3.13, 6 Y 3.27-3.42
Mg2 0.3484 0.1516 0.5000  1 Mg 3.13, 6 Y 3.27-3.42
Mg3 0.6516 0.8484 0.5000  1 Mg 3.13, 6 Y 3.27-3.42
Mg4 0.8484 0.3484 0.5000  1 Mg 3.13, 6 Y 3.27-3.42
Be1 0.0000 0.0000 0.0000  4 Y 2.76
Be2 0.5000 0.5000 0.0000  4 Y 2.76

Stability check: which of them is least stable? 3.

1 | ## YMgBe (PBE)

Data for YMgBe after structural relaxation.

a = 4.5988 Å, b = 4.5988 Å, c = 3.5057 Å
α = 90.00°, β = 90.00°, γ = 120.00°
Last column: nearest neighbours and their distance in Å.
Element x y z (fractional)
Y1 0.0000 0.0000 0.0000  6 Mg 3.18, 6 Be 3.18, 2 Y 3.51
Mg1 0.3333 0.6667 0.5000  3 Be 2.66
Be1 0.6667 0.3333 0.5000  3 Mg 2.66

2 | ## YMgBe (PBE)

Data for YMgBe after structural relaxation.

a = 12.4280 Å, b = 4.2402 Å, c = 7.1626 Å
α = 90.00°, β = 90.00°, γ = 90.00°
Last column: nearest neighbours and their distance in Å.
Element x y z (fractional)
Y1 0.0422 0.0000 0.2282  5 Be 2.93-3.01
Y2 0.2500 0.0000 0.8614  5 Be 2.99-3.03, 6 Mg 3.24-3.35
Y3 0.4578 0.0000 0.2282  5 Be 2.93-3.01
Y4 0.5422 0.0000 0.7718  5 Be 2.93-3.01
Y5 0.7500 0.0000 0.1386  5 Be 2.99-3.03, 6 Mg 3.24-3.35
Y6 0.9578 0.0000 0.7718  5 Be 2.93-3.01
Mg1 0.1260 0.5000 0.5705  3 Be 2.77-2.78, 2 Mg 3.04-3.08
Mg2 0.2500 0.5000 0.2042  4 Be 2.73-2.74, 2 Mg 3.04
Mg3 0.3740 0.5000 0.5705  3 Be 2.77-2.78, 2 Mg 3.04-3.08
Mg4 0.6260 0.5000 0.4295  3 Be 2.77-2.78, 2 Mg 3.04-3.08
Mg5 0.7500 0.5000 0.7958  4 Be 2.73-2.74, 2 Mg 3.04
Mg6 0.8740 0.5000 0.4295  3 Be 2.77-2.78, 2 Mg 3.04-3.08
Be1 0.0840 0.5000 0.9516  1 Be 2.20
Be2 0.2500 0.0000 0.4437  6 Mg 2.73-2.77, 3 Y 2.99-3.01
Be3 0.4160 0.5000 0.9516  1 Be 2.20
Be4 0.5840 0.5000 0.0484  1 Be 2.20
Be5 0.7500 0.0000 0.5563  6 Mg 2.73-2.77, 3 Y 2.99-3.01
Be6 0.9160 0.5000 0.0484  1 Be 2.20

3 | ## YMgBe (PBE)

Data for YMgBe after structural relaxation.

a = 4.5803 Å, b = 4.5803 Å, c = 4.5803 Å
α = 60.00°, β = 60.00°, γ = 60.00°
Last column: nearest neighbours and their distance in Å.
Element x y z (fractional)
Y1 0.0000 0.0000 0.0000  4 Be 2.80
Mg1 0.5000 0.5000 0.5000  4 Be 2.80
Be1 0.2500 0.2500 0.2500  4 Mg 2.80, 4 Y 2.80

Stability check: which of them is least stable? 3.

1 | ## YMgBe (PBE)

Data for YMgBe after structural relaxation.

a = 5.1965 Å, b = 5.1965 Å, c = 5.1965 Å
α = 144.12°, β = 129.10°, γ = 63.84°
Last column: nearest neighbours and their distance in Å.
Element x y z (fractional)
Y1 0.0000 0.0000 0.0000  5 Mg 2.90-3.14, 5 Be 3.04-3.07, 2 Y 3.20
Mg1 0.3285 0.3285 0.0000  5 Be 2.88-3.14, 5 Y 2.90-3.14, 2 Mg 3.20
Be1 0.6552 0.6552 0.0000  5 Mg 2.88-3.14, 5 Y 3.04-3.07, 2 Be 3.20

2 | ## YMgBe (PBE)

Data for YMgBe after structural relaxation.

a = 4.7799 Å, b = 4.7799 Å, c = 4.7799 Å
α = 60.00°, β = 60.00°, γ = 60.00°
Last column: nearest neighbours and their distance in Å.
Element x y z (fractional)
Y1 0.0000 0.0000 0.0000  4 Be 2.93, 4 Mg 2.93
Mg1 0.2500 0.2500 0.2500  4 Y 2.93
Be1 0.7500 0.7500 0.7500  4 Y 2.93

Stability check: which of them is least stable? 2.

1 | ## Mg2BeZn (PBE)

Data for Mg2BeZn after structural relaxation.

a = 5.5073 Å, b = 5.5073 Å, c = 5.5073 Å
α = 148.21°, β = 130.89°, γ = 59.69°
Last column: nearest neighbours and their distance in Å.
Element x y z (fractional)
Mg1 0.0000 0.0000 0.0000  2 Be 2.75, 4 Zn 2.81, 4 Mg 3.02-3.04
Mg2 0.7096 0.2096 0.5000  4 Be 2.76, 4 Mg 3.02-3.04, 2 Zn 3.03
Be1 0.2410 0.7410 0.5000  2 Zn 2.38
Zn1 0.4340 0.4340 0.0000  2 Be 2.38

2 | ## Mg2BeZn (PBE)

Data for Mg2BeZn after structural relaxation.

a = 2.9402 Å, b = 2.9402 Å, c = 7.6262 Å
α = 90.00°, β = 90.00°, γ = 90.00°
Last column: nearest neighbours and their distance in Å.
Element x y z (fractional)
Mg1 0.0000 0.0000 0.0000  4 Be 2.75, 4 Mg 2.94
Mg2 0.5000 0.5000 0.3271  4 Zn 2.92, 8 Mg 2.94-3.25
Be1 0.5000 0.5000 0.7641  4 Zn 2.44
Zn1 0.0000 0.0000 0.5960  4 Be 2.44

3 | ## Mg2BeZn (PBE)

Data for Mg2BeZn after structural relaxation.

a = 4.4171 Å, b = 4.4171 Å, c = 3.3575 Å
α = 90.00°, β = 90.00°, γ = 93.38°
Last column: nearest neighbours and their distance in Å.
Element x y z (fractional)
Mg1 0.0000 0.5000 0.0000  4 Be 2.77, 4 Zn 2.77, 2 Mg 3.03
Mg2 0.5000 0.0000 0.0000  4 Be 2.77, 4 Zn 2.77, 2 Mg 3.03
Be1 0.0000 0.0000 0.5000  8 Mg 2.77, 2 Zn 3.03
Zn1 0.5000 0.5000 0.5000  8 Mg 2.77, 2 Be 3.03

Stability check: which of them is least stable? 3.

1 | ## Mg2BeZn (PBE)

Data for Mg2BeZn after structural relaxation.

a = 9.6316 Å, b = 9.6316 Å, c = 9.6316 Å
α = 155.66°, β = 155.66°, γ = 34.70°
Last column: nearest neighbours and their distance in Å.
Element x y z (fractional)
Mg1 0.1163 0.6250 0.9913  2 Be 2.70, 2 Zn 2.72, 4 Mg 2.82-2.92
Mg2 0.3750 0.3663 0.4913  2 Be 2.70, 2 Zn 2.72, 4 Mg 2.82-2.92
Mg3 0.6337 0.1250 0.0087  2 Be 2.70, 2 Zn 2.72, 4 Mg 2.82-2.92
Mg4 0.8750 0.8837 0.5087  2 Be 2.70, 2 Zn 2.72, 4 Mg 2.82-2.92
Be1 0.0000 0.0000 0.0000  4 Mg 2.70, 4 Zn 2.87
Be2 0.7500 0.2500 0.5000  4 Mg 2.70, 4 Zn 2.87
Zn1 0.2500 0.7500 0.5000  4 Mg 2.72, 4 Be 2.87
Zn2 0.5000 0.5000 0.0000  4 Mg 2.72, 4 Be 2.87

2 | ## Mg2BeZn (PBE)

Data for Mg2BeZn after structural relaxation.

a = 4.4924 Å, b = 4.4924 Å, c = 4.4924 Å
α = 60.00°, β = 60.00°, γ = 60.00°
Last column: nearest neighbours and their distance in Å.
Element x y z (fractional)
Mg1 0.0000 0.0000 0.0000  4 Be 2.75, 4 Mg 2.75
Mg2 0.2500 0.2500 0.2500  4 Mg 2.75, 4 Zn 2.75
Be1 0.7500 0.7500 0.7500  4 Mg 2.75, 4 Zn 2.75
Zn1 0.5000 0.5000 0.5000  4 Mg 2.75, 4 Be 2.75

Stability check: which of them is least stable? 1.

1 | ## Mg2BeZn (PBE)

Data for Mg2BeZn after structural relaxation.

a = 4.9891 Å, b = 4.9891 Å, c = 4.9891 Å
α = 132.52°, β = 132.52°, γ = 69.41°
Last column: nearest neighbours and their distance in Å.
Element x y z (fractional)
Mg1 0.0000 0.0000 0.0000  4 Be 2.84, 4 Mg 2.87, 4 Zn 2.87
Mg2 0.7500 0.2500 0.5000  4 Zn 2.84, 4 Mg 2.87, 4 Be 2.87
Be1 0.5000 0.5000 0.0000  8 Mg 2.84-2.87, 4 Zn 2.87
Zn1 0.2500 0.7500 0.5000  8 Mg 2.84-2.87, 4 Be 2.87

2 | ## Mg2BeZn (PBE)

Data for Mg2BeZn after structural relaxation.

a = 3.1214 Å, b = 4.1675 Å, c = 5.3190 Å
α = 90.00°, β = 106.51°, γ = 90.00°
Last column: nearest neighbours and their distance in Å.
Element x y z (fractional)
Mg1 0.0000 0.0000 0.0000  3 Be 2.77-2.81, 4 Zn 2.80-2.81
Mg2 0.3200 0.5000 0.6491  3 Zn 2.74-2.84, 4 Be 2.79-2.80
Be1 0.7210 0.0000 0.4495  2 Zn 2.42
Zn1 0.6031 0.5000 0.2068  2 Be 2.42

Stability check: which of them is least stable? 1.

1 | ## Mg2BeZn (PBE)

Data for Mg2BeZn after structural relaxation.

a = 8.8700 Å, b = 8.8700 Å, c = 8.8700 Å
α = 19.76°, β = 19.76°, γ = 19.76°
Last column: nearest neighbours and their distance in Å.
Element x y z (fractional)
Mg1 0.2418 0.2418 0.2418  3 Be 2.63
Mg2 0.7582 0.7582 0.7582  3 Be 2.63
Be1 0.5000 0.5000 0.5000  6 Mg 2.63
Zn1 0.0000 0.0000 0.0000  6 Mg 2.96, 6 Zn 3.04

2 | ## Mg2BeZn (PBE)

Data for Mg2BeZn after structural relaxation.

a = 4.5188 Å, b = 4.5188 Å, c = 4.5188 Å
α = 60.00°, β = 60.00°, γ = 60.00°
Last column: nearest neighbours and their distance in Å.
Element x y z (fractional)
Mg1 0.2500 0.2500 0.2500  4 Be 2.77, 4 Zn 2.77
Mg2 0.7500 0.7500 0.7500  4 Be 2.77, 4 Zn 2.77
Be1 0.0000 0.0000 0.0000  8 Mg 2.77
Zn1 0.5000 0.5000 0.5000  8 Mg 2.77

Stability check: which of them is least stable? 1.

1 | ## MgBe2Zn2 (PBE)

Data for MgBe2Zn2 after structural relaxation.

a = 6.4371 Å, b = 6.4371 Å, c = 6.4371 Å
α = 149.31°, β = 149.31°, γ = 43.96°
Last column: nearest neighbours and their distance in Å.
Element x y z (fractional)
Mg1 0.0000 0.0000 0.0000  8 Zn 2.75
Be1 0.2500 0.7500 0.5000  4 Zn 2.38, 4 Be 2.41
Be2 0.7500 0.2500 0.5000  4 Zn 2.38, 4 Be 2.41
Zn1 0.3889 0.3889 0.0000  4 Be 2.38, 1 Zn 2.65
Zn2 0.6111 0.6111 0.0000  4 Be 2.38, 1 Zn 2.65

2 | ## MgBe2Zn2 (PBE)

Data for MgBe2Zn2 after structural relaxation.

a = 7.0301 Å, b = 7.0301 Å, c = 2.6513 Å
α = 90.00°, β = 90.00°, γ = 90.00°
Last column: nearest neighbours and their distance in Å.
Element x y z (fractional)
Mg1 0.0000 0.0000 0.0000  2 Mg 2.65, 4 Be 2.84, 8 Zn 2.90
Mg2 0.5000 0.5000 0.0000  2 Mg 2.65, 4 Be 2.84, 8 Zn 2.90
Be1 0.1125 0.3875 0.0000  1 Be 2.24, 6 Zn 2.44-2.50
Be2 0.3875 0.8875 0.0000  1 Be 2.24, 6 Zn 2.44-2.50
Be3 0.6125 0.1125 0.0000  1 Be 2.24, 6 Zn 2.44-2.50
Be4 0.8875 0.6125 0.0000  1 Be 2.24, 6 Zn 2.44-2.50
Zn1 0.1809 0.6809 0.5000  6 Be 2.44-2.50, 2 Zn 2.65
Zn2 0.3191 0.1809 0.5000  6 Be 2.44-2.50, 2 Zn 2.65
Zn3 0.6809 0.8191 0.5000  6 Be 2.44-2.50, 2 Zn 2.65
Zn4 0.8191 0.3191 0.5000  6 Be 2.44-2.50, 2 Zn 2.65

Stability check: which of them is least stable? 1.

1 | ## MgZr2Be (PBE)

Data for MgZr2Be after structural relaxation.

a = 5.7374 Å, b = 5.7374 Å, c = 5.7374 Å
α = 146.33°, β = 130.80°, γ = 60.94°
Last column: nearest neighbours and their distance in Å.
Element x y z (fractional)
Mg1 0.0000 0.0000 0.0000  4 Be 2.91, 4 Zr 3.18
Zr1 0.2873 0.7873 0.5000  2 Be 2.68, 4 Zr 3.00
Zr2 0.7127 0.2127 0.5000  2 Be 2.68, 4 Zr 3.00
Be1 0.5000 0.5000 0.0000  4 Zr 2.68, 4 Mg 2.91

2 | ## MgZr2Be (PBE)

Data for MgZr2Be after structural relaxation.

a = 2.9977 Å, b = 2.9977 Å, c = 8.6051 Å
α = 90.00°, β = 90.00°, γ = 90.00°
Last column: nearest neighbours and their distance in Å.
Element x y z (fractional)
Mg1 0.0000 0.0000 0.0000  4 Mg 3.00
Zr1 0.5000 0.5000 0.3030  4 Be 2.71, 4 Zr 3.00
Zr2 0.5000 0.5000 0.6970  4 Be 2.71, 4 Zr 3.00
Be1 0.0000 0.0000 0.5000  8 Zr 2.71, 4 Be 3.00

Stability check: which of them is least stable? 1.